No. 1
DFT (PBEsol) results for crystalline Ta2MoBr at its relaxed geometry.

Structure (CIF):
```
data_Ta2MoBr
_chemical_formula_sum 'Ta2 Mo1 Br1'
_space_group_name_H-M_alt 'P 1 2/m 1'
_space_group_IT_number 10
_space_group_name_Hall '-P 2y'
_cell_length_a 4.995
_cell_length_b 3.015
_cell_length_c 5.035
_cell_angle_alpha 90.00
_cell_angle_beta 114.92
_cell_angle_gamma 90.00
loop_
_atom_site_label
_atom_site_type_symbol
_atom_site_fract_x
_atom_site_fract_y
_atom_site_fract_z
_atom_site_occupancy
Ta1 Ta 0.000 0.000 0.000 1
Ta2 Ta 0.000 0.500 0.500 1
Mo1 Mo 0.500 0.000 0.500 1
Br1 Br 0.500 0.500 0.000 1
```

Calculated values
* polymorph energy (0 for the lowest one): 283 meV per atom
* raw total energy: -9.030 eV/atom
* formation energy (no corrections): 0.655 eV/atom

No. 2
DFT (PBEsol) results for crystalline TaMoBr2 at its relaxed geometry.

Structure (CIF):
```
data_TaMoBr2
_chemical_formula_sum 'Ta1 Mo1 Br2'
_space_group_name_H-M_alt 'P 4 m m'
_space_group_IT_number 99
_space_group_name_Hall 'P 4 -2'
_cell_length_a 3.050
_cell_length_b 3.050
_cell_length_c 8.447
_cell_angle_alpha 90.00
_cell_angle_beta 90.00
_cell_angle_gamma 90.00
loop_
_atom_site_label
_atom_site_type_symbol
_atom_site_fract_x
_atom_site_fract_y
_atom_site_fract_z
_atom_site_occupancy
Ta1 Ta 0.000 0.000 0.000 1
Mo1 Mo 0.500 0.500 0.765 1
Br1 Br 0.000 0.000 0.580 1
Br2 Br 0.500 0.500 0.204 1
```

Calculated values
* polymorph energy (0 for the lowest one): 0 meV per atom
* raw total energy: -6.979 eV/atom
* formation energy (no corrections): 0.035 eV/atom